[1]
Material: Nd2Sm6Dy3Ho
Method: DFT, PBE
State: relaxed

Geometry as CIF:
```
data_Nd2Sm6Dy3Ho
_chemical_formula_sum 'Nd4 Sm12 Dy6 Ho2'
_cell_length_a 6.249
_cell_length_b 10.821
_cell_length_c 11.951
_cell_angle_alpha 90.00
_cell_angle_beta 100.03
_cell_angle_gamma 90.00
_symmetry_space_group_name_H-M 'C 1 2/m 1'
_symmetry_Int_Tables_number 12
loop_
_symmetry_equiv_pos_as_xyz
'x,y,z'
'-x,-y,-z'
'-x,y,-z'
'x,-y,z'
'x+1/2,y+1/2,z'
'-x+1/2,-y+1/2,-z'
'-x+1/2,y+1/2,-z'
'x+1/2,-y+1/2,z'
loop_
_atom_site_label
_atom_site_fract_x
_atom_site_fract_y
_atom_site_fract_z
_atom_site_occupancy
Nd1 0.000 0.167 0.000 1
Sm1 0.248 0.500 0.747 1
Sm2 0.250 0.166 0.748 1
Dy1 0.000 0.000 0.500 1
Dy2 0.000 0.334 0.500 1
Ho1 0.000 0.500 0.000 1
```

[2]
Material: Nd5Sm2DyHo
Method: DFT, PBE
State: relaxed

Geometry as CIF:
```
data_Nd5Sm2DyHo
_chemical_formula_sum 'Nd20 Sm8 Dy4 Ho4'
_cell_length_a 8.669
_cell_length_b 8.669
_cell_length_c 16.542
_cell_angle_alpha 90.00
_cell_angle_beta 90.00
_cell_angle_gamma 90.00
_symmetry_space_group_name_H-M 'I 4/m c m'
_symmetry_Int_Tables_number 140
_symmetry_space_group_name_Hall '-I 4 2c'
loop_
_atom_site_label
_atom_site_fract_x
_atom_site_fract_y
_atom_site_fract_z
_atom_site_occupancy
Nd1 0.000 0.000 0.000 1
Nd2 0.213 0.287 0.142 1
Sm1 0.120 0.380 0.500 1
Dy1 0.000 0.000 0.250 1
Ho1 0.000 0.500 0.250 1
```

[3]
# NdSmDyHo | the Alexandria database | PBE | relaxed
data_NdSmDyHo
_chemical_formula_sum 'Nd1 Sm1 Dy1 Ho1'
_cell_length_a 5.051
_cell_length_b 5.094
_cell_length_c 5.096
_cell_angle_alpha 90.00
_cell_angle_beta 90.00
_cell_angle_gamma 90.00
_symmetry_space_group_name_H-M 'P m m m'
_symmetry_Int_Tables_number 47
loop_
_symmetry_equiv_pos_as_xyz
'x,y,z'
'-x,-y,-z'
'-x,-y,z'
'x,y,-z'
'x,-y,-z'
'-x,y,z'
'-x,y,-z'
'x,-y,z'
loop_
_atom_site_label
_atom_site_fract_x
_atom_site_fract_y
_atom_site_fract_z
_atom_site_occupancy
Nd1 0.000 0.000 0.000 1
Sm1 0.000 0.500 0.500 1
Dy1 0.500 0.000 0.500 1
Ho1 0.500 0.500 0.000 1
# - Energy above the lowest structure with this stoichiometry: 0 meV/atom

| no. | ΔE_f (eV/atom) | ρ (Mg/m³) |
| --- | --- | --- |
| 1 | 0.015 | 7.69 |
| 2 | 0.285 | 7.21 |
| 3 | 0.020 | 7.88 |